[1]
# Ta3SF, optimized geometry, DFT PBE
# Density ... 12.21 g/cm³
# Formation energy from raw total energies ... 0.5144 eV per atom
# Energy relative to the lowest polymorph listed for this composition ... 0.0 meV/atom
# Raw total energy ... -0.2865 hartree per atom
data_Ta3SF
_cell_length_a 4.3230
_cell_length_b 4.3230
_cell_length_c 4.3230
_cell_angle_alpha 90.00
_cell_angle_beta 90.00
_cell_angle_gamma 90.00
_space_group_name_H-M_alt 'P m -3 m'
_space_group_IT_number 221
_space_group_name_Hall '-P 4 2 3'
loop_
_atom_site_label
_atom_site_type_symbol
_atom_site_fract_x
_atom_site_fract_y
_atom_site_fract_z
_atom_site_occupancy
Ta1 Ta 0.0000 0.0000 0.5000 1
S1 S 0.5000 0.5000 0.5000 1
F1 F 0.0000 0.0000 0.0000 1

[2]
# TaS3F, optimized geometry, DFT PBE
# Density ... 6.35 g/cm³
# Formation energy from raw total energies ... 0.8539 eV per atom
# Energy relative to the lowest polymorph listed for this composition ... 1161.0 meV/atom
# Raw total energy ... -0.1605 hartree per atom
data_TaS3F
_cell_length_a 4.2620
_cell_length_b 4.2620
_cell_length_c 4.2620
_cell_angle_alpha 90.00
_cell_angle_beta 90.00
_cell_angle_gamma 90.00
_space_group_name_H-M_alt 'P m -3 m'
_space_group_IT_number 221
_space_group_name_Hall '-P 4 2 3'
loop_
_atom_site_label
_atom_site_type_symbol
_atom_site_fract_x
_atom_site_fract_y
_atom_site_fract_z
_atom_site_occupancy
Ta1 Ta 0.0000 0.0000 0.0000 1
S1 S 0.0000 0.5000 0.5000 1
F1 F 0.5000 0.5000 0.5000 1

[3]
# TaS2F, optimized geometry, DFT PBE
# Density ... 7.74 g/cm³
# Formation energy from raw total energies ... -0.7101 eV per atom
# Energy relative to the lowest polymorph listed for this composition ... 777.0 meV/atom
# Raw total energy ... -0.2280 hartree per atom
data_TaS2F
_cell_length_a 6.0961
_cell_length_b 6.0961
_cell_length_c 6.0961
_cell_angle_alpha 90.00
_cell_angle_beta 90.00
_cell_angle_gamma 90.00
_space_group_name_H-M_alt 'F m -3 m'
_space_group_IT_number 225
_space_group_name_Hall '-F 4 2 3'
loop_
_atom_site_label
_atom_site_type_symbol
_atom_site_fract_x
_atom_site_fract_y
_atom_site_fract_z
_atom_site_occupancy
Ta1 Ta 0.0000 0.0000 0.0000 1
S1 S 0.2500 0.2500 0.2500 1
F1 F 0.0000 0.0000 0.5000 1

[4]
# Ta2SF, optimized geometry, DFT PBE
# Density ... 11.54 g/cm³
# Formation energy from raw total energies ... -0.3640 eV per atom
# Energy relative to the lowest polymorph listed for this composition ... 13.4 meV/atom
# Raw total energy ... -0.2863 hartree per atom
data_Ta2SF
_cell_length_a 6.4210
_cell_length_b 6.4210
_cell_length_c 5.7648
_cell_angle_alpha 90.00
_cell_angle_beta 90.00
_cell_angle_gamma 90.00
_space_group_name_H-M_alt 'I -4 2 d'
_space_group_IT_number 122
_space_group_name_Hall 'I -4 2bw'
loop_
_atom_site_label
_atom_site_type_symbol
_atom_site_fract_x
_atom_site_fract_y
_atom_site_fract_z
_atom_site_occupancy
Ta1 Ta 0.2302 0.7500 0.1250 1
S1 S 0.0000 0.0000 0.5000 1
F1 F 0.0000 0.0000 0.0000 1

[5]
# TaS2F, optimized geometry, DFT PBE
# Density ... 5.47 g/cm³
# Formation energy from raw total energies ... -1.4871 eV per atom
# Energy relative to the lowest polymorph listed for this composition ... 0.0 meV/atom
# Raw total energy ... -0.2566 hartree per atom
data_TaS2F
_cell_length_a 6.2653
_cell_length_b 5.3786
_cell_length_c 9.5167
_cell_angle_alpha 90.00
_cell_angle_beta 90.00
_cell_angle_gamma 90.00
_space_group_name_H-M_alt 'P n n a'
_space_group_IT_number 52
loop_
_space_group_symop_operation_xyz
'x,y,z'
'-x,-y,-z'
'-x+1/2,-y,z'
'x+1/2,y,-z'
'x,-y+1/2,-z+1/2'
'-x,y+1/2,z+1/2'
'-x+1/2,y+1/2,-z+1/2'
'x+1/2,-y+1/2,z+1/2'
loop_
_atom_site_label
_atom_site_type_symbol
_atom_site_fract_x
_atom_site_fract_y
_atom_site_fract_z
_atom_site_occupancy
Ta1 Ta 0.2500 0.0000 0.0768 1
S1 S 0.0734 0.2487 0.5837 1
F1 F 0.1773 0.2500 0.2500 1

[6]
# TaSF2, optimized geometry, DFT PBE
# Density ... 8.68 g/cm³
# Formation energy from raw total energies ... -0.7815 eV per atom
# Energy relative to the lowest polymorph listed for this composition ... 603.4 meV/atom
# Raw total energy ... -0.2099 hartree per atom
data_TaSF2
_cell_length_a 5.7696
_cell_length_b 5.7696
_cell_length_c 5.7696
_cell_angle_alpha 90.00
_cell_angle_beta 90.00
_cell_angle_gamma 90.00
_space_group_name_H-M_alt 'F m -3 m'
_space_group_IT_number 225
_space_group_name_Hall '-F 4 2 3'
loop_
_atom_site_label
_atom_site_type_symbol
_atom_site_fract_x
_atom_site_fract_y
_atom_site_fract_z
_atom_site_occupancy
Ta1 Ta 0.0000 0.0000 0.0000 1
S1 S 0.0000 0.0000 0.5000 1
F1 F 0.2500 0.2500 0.2500 1

[7]
# Ta2SF, optimized geometry, DFT PBE
# Density ... 12.34 g/cm³
# Formation energy from raw total energies ... -0.3774 eV per atom
# Energy relative to the lowest polymorph listed for this composition ... 0.0 meV/atom
# Raw total energy ... -0.2868 hartree per atom
data_Ta2SF
_cell_length_a 6.0582
_cell_length_b 6.0582
_cell_length_c 6.0582
_cell_angle_alpha 90.00
_cell_angle_beta 90.00
_cell_angle_gamma 90.00
_space_group_name_H-M_alt 'F m -3 m'
_space_group_IT_number 225
_space_group_name_Hall '-F 4 2 3'
loop_
_atom_site_label
_atom_site_type_symbol
_atom_site_fract_x
_atom_site_fract_y
_atom_site_fract_z
_atom_site_occupancy
Ta1 Ta 0.2500 0.2500 0.2500 1
S1 S 0.0000 0.0000 0.0000 1
F1 F 0.0000 0.0000 0.5000 1

[8]
# TbSF, optimized geometry, DFT PBE
# Density ... 6.73 g/cm³
# Formation energy from raw total energies ... -2.9581 eV per atom
# Raw total energy ... -0.2389 hartree per atom
data_TbSF
_cell_length_a 3.9421
_cell_length_b 3.9421
_cell_length_c 3.8484
_cell_angle_alpha 90.00
_cell_angle_beta 90.00
_cell_angle_gamma 120.00
_space_group_name_H-M_alt 'P -6 m 2'
_space_group_IT_number 187
_space_group_name_Hall 'P -6 2'
loop_
_atom_site_label
_atom_site_type_symbol
_atom_site_fract_x
_atom_site_fract_y
_atom_site_fract_z
_atom_site_occupancy
Tb1 Tb 0.0000 0.0000 0.0000 1
S1 S 0.6667 0.3333 0.5000 1
F1 F 0.3333 0.6667 0.0000 1

[9]
# TbSF, optimized geometry, DFT PBE
# Density ... 6.78 g/cm³
# Formation energy from raw total energies ... -3.0074 eV per atom
# Raw total energy ... -0.2407 hartree per atom
data_TbSF
_cell_length_a 6.5694
_cell_length_b 3.7677
_cell_length_c 8.3126
_cell_angle_alpha 90.00
_cell_angle_beta 90.00
_cell_angle_gamma 90.00
_space_group_name_H-M_alt 'P n m a'
_space_group_IT_number 62
loop_
_space_group_symop_operation_xyz
'x,y,z'
'-x,-y,-z'
'-x+1/2,-y,z+1/2'
'x+1/2,y,-z+1/2'
'x+1/2,-y+1/2,-z+1/2'
'-x+1/2,y+1/2,z+1/2'
'-x,y+1/2,-z'
'x,-y+1/2,z'
loop_
_atom_site_label
_atom_site_type_symbol
_atom_site_fract_x
_atom_site_fract_y
_atom_site_fract_z
_atom_site_occupancy
Tb1 Tb 0.2264 0.2500 0.1103 1
S1 S 0.0370 0.7500 0.3248 1
F1 F 0.1255 0.7500 0.9593 1

[10]
# TbSF, optimized geometry, DFT PBE
# Density ... 5.19 g/cm³
# Formation energy from raw total energies ... -2.9198 eV per atom
# Raw total energy ... -0.2375 hartree per atom
data_TbSF
_cell_length_a 5.5267
_cell_length_b 5.5267
_cell_length_c 4.3993
_cell_angle_alpha 90.00
_cell_angle_beta 90.00
_cell_angle_gamma 90.00
_space_group_name_H-M_alt 'P 4/n m m'
_space_group_IT_number 129
loop_
_space_group_symop_operation_xyz
'x,y,z'
'-x,-y,-z'
'-y+1/2,x,z'
'y+1/2,-x,-z'
'-x+1/2,-y+1/2,z'
'x+1/2,y+1/2,-z'
'y,-x+1/2,z'
'-y,x+1/2,-z'
'x+1/2,-y,-z'
'-x+1/2,y,z'
'-y,-x,-z'
'y,x,z'
'-x,y+1/2,-z'
'x,-y+1/2,z'
'y+1/2,x+1/2,-z'
'-y+1/2,-x+1/2,z'
loop_
_atom_site_label
_atom_site_type_symbol
_atom_site_fract_x
_atom_site_fract_y
_atom_site_fract_z
_atom_site_occupancy
Tb1 Tb 0.2500 0.2500 0.0081 1
S1 S 0.2500 0.7500 0.0000 1
F1 F 0.2500 0.2500 0.5071 1

[11]
# Tb2SF4, optimized geometry, DFT PBE
# Density ... 7.25 g/cm³
# Formation energy from raw total energies ... -3.6343 eV per atom
# Raw total energy ... -0.2431 hartree per atom
data_Tb2SF4
_cell_length_a 7.2097
_cell_length_b 7.2097
_cell_length_c 3.7528
_cell_angle_alpha 90.00
_cell_angle_beta 90.00
_cell_angle_gamma 90.00
_space_group_name_H-M_alt 'P 42/m n m'
_space_group_IT_number 136
_space_group_name_Hall '-P 4n 2n'
loop_
_atom_site_label
_atom_site_type_symbol
_atom_site_fract_x
_atom_site_fract_y
_atom_site_fract_z
_atom_site_occupancy
Tb1 Tb 0.2190 0.2190 0.0000 1
S1 S 0.0000 0.0000 0.5000 1
F1 F 0.0874 0.6698 0.0000 1

[12]
# TbSF, optimized geometry, DFT PBE
# Density ... 7.00 g/cm³
# Formation energy from raw total energies ... -3.0175 eV per atom
# Raw total energy ... -0.2411 hartree per atom
data_TbSF
_cell_length_a 3.8065
_cell_length_b 3.8065
_cell_length_c 6.8734
_cell_angle_alpha 90.00
_cell_angle_beta 90.00
_cell_angle_gamma 90.00
_space_group_name_H-M_alt 'P 4/n m m'
_space_group_IT_number 129
loop_
_space_group_symop_operation_xyz
'x,y,z'
'-x,-y,-z'
'-y+1/2,x,z'
'y+1/2,-x,-z'
'-x+1/2,-y+1/2,z'
'x+1/2,y+1/2,-z'
'y,-x+1/2,z'
'-y,x+1/2,-z'
'x+1/2,-y,-z'
'-x+1/2,y,z'
'-y,-x,-z'
'y,x,z'
'-x,y+1/2,-z'
'x,-y+1/2,z'
'y+1/2,x+1/2,-z'
'-y+1/2,-x+1/2,z'
loop_
_atom_site_label
_atom_site_type_symbol
_atom_site_fract_x
_atom_site_fract_y
_atom_site_fract_z
_atom_site_occupancy
Tb1 Tb 0.2500 0.2500 0.2286 1
S1 S 0.2500 0.2500 0.6438 1
F1 F 0.2500 0.7500 0.0000 1

[13]
# TbSF, optimized geometry, DFT PBE
# Density ... 6.11 g/cm³
# Formation energy from raw total energies ... -2.5148 eV per atom
# Raw total energy ... -0.2226 hartree per atom
data_TbSF
_cell_length_a 3.8145
_cell_length_b 3.8145
_cell_length_c 7.8419
_cell_angle_alpha 90.00
_cell_angle_beta 90.00
_cell_angle_gamma 90.00
_space_group_name_H-M_alt 'I 4 m m'
_space_group_IT_number 107
_space_group_name_Hall 'I 4 -2'
loop_
_atom_site_label
_atom_site_type_symbol
_atom_site_fract_x
_atom_site_fract_y
_atom_site_fract_z
_atom_site_occupancy
Tb1 Tb 0.0000 0.0000 0.0000 1
S1 S 0.0000 0.0000 0.3877 1
F1 F 0.0000 0.0000 0.7281 1

[14]
# TbSF, optimized geometry, DFT PBE
# Density ... 5.89 g/cm³
# Formation energy from raw total energies ... -2.8205 eV per atom
# Raw total energy ... -0.2339 hartree per atom
data_TbSF
_cell_length_a 6.1876
_cell_length_b 6.1876
_cell_length_c 6.1876
_cell_angle_alpha 90.00
_cell_angle_beta 90.00
_cell_angle_gamma 90.00
_space_group_name_H-M_alt 'F -4 3 m'
_space_group_IT_number 216
_space_group_name_Hall 'F -4 2 3'
loop_
_atom_site_label
_atom_site_type_symbol
_atom_site_fract_x
_atom_site_fract_y
_atom_site_fract_z
_atom_site_occupancy
Tb1 Tb 0.0000 0.0000 0.0000 1
S1 S 0.2500 0.2500 0.2500 1
F1 F 0.2500 0.2500 0.7500 1

[15]
# Tb4S5F, optimized geometry, DFT PBE
# Density ... 5.74 g/cm³
# Formation energy from raw total energies ... -2.1568 eV per atom
# Raw total energy ... -0.2300 hartree per atom
data_Tb4S5F
_cell_length_a 3.8552
_cell_length_b 7.2511
_cell_length_c 16.8770
_cell_angle_alpha 90.00
_cell_angle_beta 90.00
_cell_angle_gamma 90.00
_space_group_name_H-M_alt 'I m m m'
_space_group_IT_number 71
_space_group_name_Hall '-I 2 2'
loop_
_atom_site_label
_atom_site_type_symbol
_atom_site_fract_x
_atom_site_fract_y
_atom_site_fract_z
_atom_site_occupancy
Tb1 Tb 0.0000 0.0000 0.2214 1
Tb2 Tb 0.0000 0.2481 0.5000 1
S1 S 0.0000 0.2662 0.3384 1
S2 S 0.0000 0.5000 0.0000 1
F1 F 0.0000 0.0000 0.0000 1

[16]
# TcSF, optimized geometry, DFT PBE
# Density ... 4.71 g/cm³
# Formation energy from raw total energies ... -0.8980 eV per atom
# Raw total energy ... -0.2335 hartree per atom
data_TcSF
_cell_length_a 6.8798
_cell_length_b 5.9041
_cell_length_c 5.5191
_cell_angle_alpha 90.00
_cell_angle_beta 110.19
_cell_angle_gamma 90.00
_space_group_name_H-M_alt 'P 1 21/c 1'
_space_group_IT_number 14
loop_
_space_group_symop_operation_xyz
'x,y,z'
'-x,-y,-z'
'-x,y+1/2,-z+1/2'
'x,-y+1/2,z+1/2'
loop_
_atom_site_label
_atom_site_type_symbol
_atom_site_fract_x
_atom_site_fract_y
_atom_site_fract_z
_atom_site_occupancy
Tc1 Tc 0.0254 0.1581 0.3265 1
S1 S 0.2565 0.0925 0.7366 1
F1 F 0.2111 0.6004 0.7541 1

[17]
# TcS2F, optimized geometry, DFT PBE
# Density ... 5.76 g/cm³
# Formation energy from raw total energies ... -0.1754 eV per atom
# Energy relative to the lowest polymorph listed for this composition ... 263.0 meV/atom
# Raw total energy ... -0.1947 hartree per atom
data_TcS2F
_cell_length_a 5.9349
_cell_length_b 5.9349
_cell_length_c 5.9349
_cell_angle_alpha 90.00
_cell_angle_beta 90.00
_cell_angle_gamma 90.00
_space_group_name_H-M_alt 'F m -3 m'
_space_group_IT_number 225
_space_group_name_Hall '-F 4 2 3'
loop_
_atom_site_label
_atom_site_type_symbol
_atom_site_fract_x
_atom_site_fract_y
_atom_site_fract_z
_atom_site_occupancy
Tc1 Tc 0.0000 0.0000 0.0000 1
S1 S 0.2500 0.2500 0.2500 1
F1 F 0.0000 0.0000 0.5000 1

[18]
# TcS2F, optimized geometry, DFT PBE
# Density ... 3.75 g/cm³
# Formation energy from raw total energies ... -0.3685 eV per atom
# Energy relative to the lowest polymorph listed for this composition ... 69.9 meV/atom
# Raw total energy ... -0.2018 hartree per atom
data_TcS2F
_cell_length_a 5.7886
_cell_length_b 5.7886
_cell_length_c 9.5822
_cell_angle_alpha 90.00
_cell_angle_beta 90.00
_cell_angle_gamma 90.00
_space_group_name_H-M_alt 'I -4 2 d'
_space_group_IT_number 122
_space_group_name_Hall 'I -4 2bw'
loop_
_atom_site_label
_atom_site_type_symbol
_atom_site_fract_x
_atom_site_fract_y
_atom_site_fract_z
_atom_site_occupancy
Tc1 Tc 0.0000 0.0000 0.0000 1
S1 S 0.1999 0.2500 0.1250 1
F1 F 0.0000 0.0000 0.5000 1

[19]
# TcS3F, optimized geometry, DFT PBE
# Density ... 3.78 g/cm³
# Formation energy from raw total energies ... 0.1393 eV per atom
# Energy relative to the lowest polymorph listed for this composition ... 0.0 meV/atom
# Raw total energy ... -0.1758 hartree per atom
data_TcS3F
_cell_length_a 4.5405
_cell_length_b 4.5405
_cell_length_c 4.5405
_cell_angle_alpha 90.00
_cell_angle_beta 90.00
_cell_angle_gamma 90.00
_space_group_name_H-M_alt 'P m -3 m'
_space_group_IT_number 221
_space_group_name_Hall '-P 4 2 3'
loop_
_atom_site_label
_atom_site_type_symbol
_atom_site_fract_x
_atom_site_fract_y
_atom_site_fract_z
_atom_site_occupancy
Tc1 Tc 0.0000 0.0000 0.0000 1
S1 S 0.0000 0.0000 0.5000 1
F1 F 0.5000 0.5000 0.5000 1

[20]
# TcS2F, optimized geometry, DFT PBE
# Density ... 4.23 g/cm³
# Formation energy from raw total energies ... -0.4384 eV per atom
# Energy relative to the lowest polymorph listed for this composition ... 0.0 meV/atom
# Raw total energy ... -0.2044 hartree per atom
data_TcS2F
_cell_length_a 3.4802
_cell_length_b 3.4802
_cell_length_c 20.3563
_cell_angle_alpha 90.00
_cell_angle_beta 90.00
_cell_angle_gamma 120.00
_space_group_name_H-M_alt 'R -3 m'
_space_group_IT_number 166
_space_group_name_Hall '-R 3 2"'
loop_
_atom_site_label
_atom_site_type_symbol
_atom_site_fract_x
_atom_site_fract_y
_atom_site_fract_z
_atom_site_occupancy
Tc1 Tc 0.0000 0.0000 0.0000 1
S1 S 0.0000 0.0000 0.3977 1
F1 F 0.0000 0.0000 0.5000 1